# IrPt2Br (GGA-PBE, optimized geometry)
# - Energy relative to the elements, uncorrected: 0.38 eV/atom
data_IrPt2Br
_cell_length_a 3.543
_cell_length_b 2.816
_cell_length_c 7.160
_cell_angle_alpha 89.99
_cell_angle_beta 90.00
_cell_angle_gamma 90.00
_symmetry_space_group_name_H-M 'P 1'
_symmetry_Int_Tables_number 1
loop_
_symmetry_equiv_pos_as_xyz
'x,y,z'
loop_
_atom_site_label
_atom_site_fract_x
_atom_site_fract_y
_atom_site_fract_z
Pt1 0.000 0.250 0.541
Pt2 0.000 0.250 0.959
Ir1 0.500 0.750 0.750
Br1 0.500 0.250 0.250



# MnIn2Te4 (GGA-PBE, optimized geometry)
# - Energy relative to the elements, uncorrected: -0.27 eV/atom
data_MnIn2Te4
_cell_length_a 6.306
_cell_length_b 6.306
_cell_length_c 6.274
_cell_angle_alpha 90.00
_cell_angle_beta 90.00
_cell_angle_gamma 90.00
_symmetry_space_group_name_H-M 'P 1'
_symmetry_Int_Tables_number 1
loop_
_symmetry_equiv_pos_as_xyz
'x,y,z'
loop_
_atom_site_label
_atom_site_fract_x
_atom_site_fract_y
_atom_site_fract_z
Te1 0.266 0.734 0.782
Te2 0.734 0.266 0.782
Te3 0.266 0.266 0.218
Te4 0.734 0.734 0.218
In1 0.500 0.000 0.500
In2 0.000 0.500 0.500
Mn1 0.000 0.000 0.000



# ZrHg2Br (GGA-PBE, optimized geometry)
# - Energy relative to the elements, uncorrected: -0.05 eV/atom
data_ZrHg2Br
_cell_length_a 5.530
_cell_length_b 3.417
_cell_length_c 5.973
_cell_angle_alpha 63.36
_cell_angle_beta 90.00
_cell_angle_gamma 90.00
_symmetry_space_group_name_H-M 'P 1'
_symmetry_Int_Tables_number 1
loop_
_symmetry_equiv_pos_as_xyz
'x,y,z'
loop_
_atom_site_label
_atom_site_fract_x
_atom_site_fract_y
_atom_site_fract_z
Br1 0.500 0.750 0.750
Zr1 0.500 0.250 0.250
Hg1 0.000 0.364 0.485
Hg2 0.000 0.136 0.015



# CeY2Sb3 (GGA-PBE, optimized geometry)
# - Energy relative to the elements, uncorrected: -1.12 eV/atom
data_CeY2Sb3
_cell_length_a 6.266
_cell_length_b 8.854
_cell_length_c 13.279
_cell_angle_alpha 90.00
_cell_angle_beta 90.00
_cell_angle_gamma 90.00
_symmetry_space_group_name_H-M 'P 1'
_symmetry_Int_Tables_number 1
loop_
_symmetry_equiv_pos_as_xyz
'x,y,z'
loop_
_atom_site_label
_atom_site_fract_x
_atom_site_fract_y
_atom_site_fract_z
Sb1 0.750 0.872 0.085
Sb2 0.250 0.628 0.585
Sb3 0.249 0.624 0.251
Sb4 0.750 0.372 0.415
Sb5 0.750 0.878 0.415
Sb6 0.751 0.376 0.749
Sb7 0.750 0.378 0.085
Sb8 0.250 0.122 0.585
Sb9 0.751 0.876 0.751
Sb10 0.250 0.128 0.915
Sb11 0.249 0.124 0.249
Sb12 0.250 0.622 0.915
Y1 0.749 0.625 0.252
Y2 0.250 0.376 0.084
Y3 0.750 0.124 0.584
Y4 0.251 0.875 0.752
Y5 0.749 0.125 0.248
Y6 0.250 0.876 0.416
Y7 0.750 0.624 0.916
Y8 0.251 0.375 0.748
Ce1 0.750 0.627 0.582
Ce2 0.750 0.127 0.918
Ce3 0.250 0.373 0.418
Ce4 0.250 0.873 0.082



# PuUS2 (GGA-PBE, optimized geometry)
# - Energy relative to the elements, uncorrected: -1.55 eV/atom
data_PuUS2
_cell_length_a 3.852
_cell_length_b 3.852
_cell_length_c 6.931
_cell_angle_alpha 73.87
_cell_angle_beta 73.87
_cell_angle_gamma 60.00
_symmetry_space_group_name_H-M 'P 1'
_symmetry_Int_Tables_number 1
loop_
_symmetry_equiv_pos_as_xyz
'x,y,z'
loop_
_atom_site_label
_atom_site_fract_x
_atom_site_fract_y
_atom_site_fract_z
S1 0.250 0.250 0.250
S2 0.750 0.750 0.750
Pu1 0.000 0.000 0.000
U1 0.500 0.500 0.500



# LaPm2NdY5 (GGA-PBE, optimized geometry)
# - Energy relative to the elements: 2.1 eV/f.u.
data_LaPm2NdY5
_cell_length_a 8.790
_cell_length_b 8.790
_cell_length_c 10.023
_cell_angle_alpha 116.01
_cell_angle_beta 116.01
_cell_angle_gamma 90.00
_symmetry_space_group_name_H-M 'P 1'
_symmetry_Int_Tables_number 1
loop_
_symmetry_equiv_pos_as_xyz
'x,y,z'
loop_
_atom_site_label
_atom_site_fract_x
_atom_site_fract_y
_atom_site_fract_z
La1 0.750 0.750 0.500
La2 0.250 0.250 0.500
Y1 0.072 0.572 0.730
Y2 0.842 0.928 0.270
Y3 0.342 0.842 0.270
Y4 0.658 0.158 0.730
Y5 0.572 0.658 0.730
Y6 0.500 0.500 0.000
Y7 0.928 0.428 0.270
Y8 0.158 0.072 0.730
Y9 0.000 0.000 0.000
Y10 0.428 0.342 0.270
Pm1 0.617 0.117 0.000
Pm2 0.117 0.383 0.000
Pm3 0.883 0.617 0.000
Pm4 0.383 0.883 0.000
Nd1 0.750 0.250 0.500
Nd2 0.250 0.750 0.500



We obtain uncorrected energy values of -5.28 -4.16 -2.75 -6.33 -10.02 -5.49 eV per atom for the records listed above, in that order.